[1]
VASP calculation (PBE) on a relaxed HfV2CoP crystal.

Summary:
Formation energy from the elements ... 0.471 eV per atom
Crystal system ... tetragonal
Uncorrected energy ... -7.67 eV/atom

Cell: 4.255 4.814 4.255 Å, 90.00 90.00 90.00°
Element x y z (fractional)
V 0.000 0.000 0.500
V 0.500 0.000 0.000
Hf 0.000 0.500 0.000
Co 0.000 0.000 0.000
P 0.500 0.500 0.500



[2]
VASP calculation (PBE) on a relaxed Ta2Mn crystal.

Summary:
Formation energy from the elements ... 0.282 eV per atom
Crystal system ... cubic
Uncorrected energy ... -10.68 eV/atom

Cell: 5.970 5.970 5.970 Å, 90.00 90.00 90.00°
Element x y z (fractional)
Ta 0.250 0.750 0.750
Ta 0.750 0.750 0.750
Ta 0.750 0.250 0.250
Ta 0.250 0.750 0.250
Ta 0.250 0.250 0.250
Ta 0.250 0.250 0.750
Ta 0.750 0.250 0.750
Ta 0.750 0.750 0.250
Mn 0.000 0.000 0.000
Mn 0.500 0.000 0.500
Mn 0.000 0.500 0.500
Mn 0.500 0.500 0.000



[3]
VASP calculation (PBE) on a relaxed ZnCu2H crystal.

Summary:
Crystal system ... trigonal
Uncorrected energy ... -3.15 eV/atom
Offset from the most stable computed form ... 5 meV/atom

Cell: 2.681 2.681 6.700 Å, 78.46 78.46 60.00°
Element x y z (fractional)
Zn 0.500 0.500 0.500
H 0.000 0.000 0.000
Cu 0.275 0.275 0.175
Cu 0.725 0.725 0.825



[4]
VASP calculation (PBE) on a relaxed CdCu crystal.

Summary:
Formation energy from the elements ... 0.659 eV per atom
Crystal system ... cubic
Uncorrected energy ... -1.85 eV/atom

Cell: 4.230 4.230 4.230 Å, 90.00 120.00 60.00°
Element x y z (fractional)
Cu 0.500 0.250 0.250
Cd 0.000 0.000 0.000



[5]
VASP calculation (PBE) on a relaxed LaTbCeSc crystal.

Summary:
Formation energy from the elements ... 0.155 eV per atom
Crystal system ... cubic
Uncorrected energy ... -5.30 eV/atom

Cell: 5.612 5.612 5.612 Å, 60.00 60.00 60.00°
Element x y z (fractional)
La 0.750 0.750 0.750
Sc 0.000 0.000 0.000
Ce 0.250 0.250 0.250
Tb 0.500 0.500 0.500



[6]
VASP calculation (PBE) on a relaxed Sb3PbN crystal.

Summary:
Crystal system ... cubic
Uncorrected energy ... -2.67 eV/atom
Offset from the most stable computed form ... 1705 meV/atom

Cell: 5.766 5.766 5.766 Å, 90.00 90.00 90.00°
Element x y z (fractional)
Sb 0.000 0.000 0.500
Sb 0.500 0.000 0.000
Sb 0.000 0.500 0.000
Pb 0.000 0.000 0.000
N 0.500 0.500 0.500



[7]
VASP calculation (PBE) on a relaxed SmYAgOs crystal.

Summary:
Formation energy from the elements ... -0.202 eV per atom
Crystal system ... cubic
Uncorrected energy ... -6.52 eV/atom

Cell: 5.008 5.008 5.008 Å, 60.00 60.00 60.00°
Element x y z (fractional)
Y 0.000 0.000 0.000
Sm 0.500 0.500 0.500
Os 0.250 0.250 0.250
Ag 0.750 0.750 0.750